# GGA-PBE DyTlF4, relaxed
data_DyTlF4
_cell_length_a 3.885
_cell_length_b 3.885
_cell_length_c 6.692
_cell_angle_alpha 90.00
_cell_angle_beta 90.00
_cell_angle_gamma 90.00
_space_group_name_H-M_alt 'P 1'
_space_group_IT_number 1
_space_group_name_Hall 'P 1'
loop_
_atom_site_label
_atom_site_type_symbol
_atom_site_fract_x
_atom_site_fract_y
_atom_site_fract_z
Dy1 Dy 0.000 0.000 0.000
Tl1 Tl 0.500 0.500 0.500
F1 F 0.000 0.500 0.189
F2 F 0.000 0.500 0.811
F3 F 0.500 0.000 0.189
F4 F 0.500 0.000 0.811
# Calculated total energy ... -5.750 eV per atom
# ρ ... 7.28 Mg/m³
# Symmetry ... P4/mmm